[1]
VASP calculation (PBE-GGA) on crystalline CeNdAgIr at its relaxed geometry.

- E_tot: -23.97 eV for the cell shown
- Space-group type: No. 216
- ΔE_f: -0.388 eV per atom
- DOS(E_F): 7.681 states/eV/f.u.

abc: 5.1098 5.1098 5.1098
angles: 60.00 60.00 60.00
Last column: nearest neighbours and their distance in Å.
Atoms (fractional coordinates):
Ce1 0.0000 0.0000 0.0000  4 Ir 3.13, 4 Ag 3.13
Nd1 0.5000 0.5000 0.5000  4 Ir 3.13, 4 Ag 3.13
Ag1 0.2500 0.2500 0.2500  4 Ce 3.13, 4 Nd 3.13
Ir1 0.7500 0.7500 0.7500  4 Ce 3.13, 4 Nd 3.13

***

[2]
VASP calculation (PBE-GGA) on crystalline CeSmAgIr at its relaxed geometry.

- E_tot: -24.04 eV for the cell shown
- Space-group type: No. 216
- ΔE_f: -0.418 eV per atom
- DOS(E_F): 7.324 states/eV/f.u.

abc: 5.0797 5.0797 5.0797
angles: 60.00 60.00 60.00
Last column: nearest neighbours and their distance in Å.
Atoms (fractional coordinates):
Ce1 0.0000 0.0000 0.0000  4 Ir 3.11, 4 Ag 3.11
Sm1 0.5000 0.5000 0.5000  4 Ir 3.11, 4 Ag 3.11
Ag1 0.2500 0.2500 0.2500  4 Sm 3.11, 4 Ce 3.11
Ir1 0.7500 0.7500 0.7500  4 Sm 3.11, 4 Ce 3.11